Density functional theory data (GGA-PBE) for a relaxed structure of Sr2HfPd2.

abc: 3.709 3.709 20.992
angles: 90.00 90.00 90.00
Space group I4/mmm (No. 139)
Unique sites:
Sr: 0.000 0.000 0.128 (multiplicity 4)
Hf: 0.000 0.000 0.500 (multiplicity 2)
Pd: 0.000 0.500 0.250 (multiplicity 4)

Crystal system   tetragonal
N(E_F)   1.39 states/eV/atom
Mass density   6.515 g cm⁻³
ΔH_f (0 K)   0.221 eV per atom